This record from Alexandria describes a relaxed structure of Li6AlCrO6. The functional is GGA+U.

**Spin magnetization**: 2.999 μB/f.u.
**Energy**: -5.815 eV/atom
**Fermi-level density of states**: 0.000 states/eV/cell

Geometry as POSCAR:
```
Li6AlCrO6
1.0
2.694 -4.666 0.000
2.694 4.666 0.000
0.000 0.000 9.749
Li Al Cr O
12 2 2 12
direct
0.938 0.622 0.423
0.062 0.684 0.923
0.622 0.938 0.923
0.938 0.316 0.077
0.684 0.062 0.423
0.062 0.378 0.577
0.622 0.684 0.577
0.378 0.316 0.423
0.316 0.378 0.923
0.684 0.622 0.077
0.378 0.062 0.077
0.316 0.938 0.577
0.667 0.333 0.750
0.333 0.667 0.250
0.000 0.000 0.250
0.000 0.000 0.750
0.053 0.705 0.134
0.947 0.652 0.634
0.652 0.947 0.134
0.053 0.348 0.366
0.947 0.295 0.866
0.705 0.053 0.634
0.348 0.295 0.634
0.705 0.652 0.866
0.295 0.348 0.134
0.652 0.705 0.366
0.295 0.947 0.366
0.348 0.053 0.866
```